A plane-wave DFT calculation with PBE-GGA was carried out for CdGaSn2 after structural relaxation.

Cell: 4.394 4.394 11.125 Å, 78.61 78.61 90.00°
Positions (direct):
Ga1 0.250 0.750 0.500
Ga2 0.500 0.500 0.000
Cd1 0.000 0.000 0.000
Cd2 0.750 0.250 0.500
Sn1 0.875 0.871 0.750
Sn2 0.621 0.125 0.250
Sn3 0.129 0.625 0.250
Sn4 0.375 0.379 0.750

- Crystal system: tetragonal
- DFT total energy: -11.58 eV per formula unit
- Formation energy: 0.093 eV per atom
- Magnetization: 0.0 μB per formula unit

---

A plane-wave DFT calculation with PBE-GGA was carried out for Cd8Ga2Sn after structural relaxation.

Cell: 5.092 9.218 7.400 Å, 51.47 80.07 73.92°
Positions (direct):
Cd1 0.500 0.737 0.526
Cd2 0.546 0.667 0.000
Cd3 0.946 0.315 0.723
Cd4 0.454 0.333 0.000
Cd5 0.946 0.038 0.277
Cd6 0.054 0.685 0.277
Cd7 0.500 0.263 0.474
Cd8 0.054 0.962 0.723
Sn1 0.500 0.000 0.000
Ga1 0.000 0.629 0.741
Ga2 0.000 0.371 0.259

- Crystal system: monoclinic
- DFT total energy: -16.57 eV per formula unit
- Formation energy: 0.074 eV per atom
- Magnetization: 0.0 μB per formula unit